1.
Here is an optimized crystal structure of Ac4SnHg3 from Alexandria via LeMat-Bulk. Energies are from PBE.

Cell lengths 5.685, 5.685, 9.220 Å; angles 107.88, 107.88, 90.08 degrees
Fractional positions:
Ac  0.124  0.624  0.749
Ac  0.376  0.876  0.251
Ac  0.624  0.124  0.749
Ac  0.876  0.376  0.251
Sn  0.000  0.000  0.500
Hg  0.254  0.254  0.009
Hg  0.500  0.500  0.500
Hg  0.746  0.746  0.991

- V: 33.55 Å³/atom
- Spin magnetization: 0.0 μB per formula unit
- Offset from the most stable computed form: 0.000 eV/atom
- Symmetry: C2/m (12)
- E_form: -0.51 eV per atom
- Raw total energy: -25.5 eV per cell

***

2.
Here is an optimized crystal structure of TmTaRh4 from Alexandria via LeMat-Bulk. Energies are from PBE.

Cell lengths 5.291, 5.291, 6.776 Å; angles 109.60, 109.60, 34.73 degrees
Fractional positions:
Tm  0.000  0.000  0.000
Ta  0.000  0.000  0.500
Rh  0.334  0.334  0.195
Rh  0.351  0.351  0.645
Rh  0.649  0.649  0.355
Rh  0.666  0.666  0.805

- V: 16.86 Å³/atom
- Spin magnetization: 0.0 μB per formula unit
- Symmetry: C2/m (12)
- E_form: -0.44 eV per atom
- Raw total energy: -48.3 eV per cell

***

3.
Here is an optimized crystal structure of KHf2NbGa from Alexandria via LeMat-Bulk. Energies are from PBE.

Cell lengths 5.140, 5.140, 5.408 Å; angles 90.00, 90.00, 90.00 degrees
Fractional positions:
K  0.000  0.000  0.000
Hf  0.000  0.500  0.500
Hf  0.500  0.000  0.500
Nb  0.500  0.500  0.500
Ga  0.500  0.500  0.000

- V: 28.57 Å³/atom
- Spin magnetization: 0.0 μB per formula unit
- Symmetry: P4/mmm (123)
- E_form: 0.77 eV per atom
- Raw total energy: -30.2 eV per cell

***

4.
Here is an optimized crystal structure of Ba2NaPbCl from Alexandria via LeMat-Bulk. Energies are from PBE.

Cell lengths 6.109, 6.109, 5.236 Å; angles 90.00, 90.00, 90.00 degrees
Fractional positions:
Ba  0.000  0.500  0.000
Ba  0.500  0.000  0.000
Na  0.000  0.000  0.500
Pb  0.500  0.500  0.500
Cl  0.000  0.000  0.000

- V: 39.08 Å³/atom
- Spin magnetization: 0.0 μB per formula unit
- Formation energy from raw total energies: -0.89 eV per atom
- Symmetry: P4/mmm (123)
- Raw total energy: -15.1 eV per cell

***

5.
Here is an optimized crystal structure of TiGeIrRh from Alexandria via LeMat-Bulk. Energies are from PBE.

Cell lengths 4.612, 4.612, 4.612 Å; angles 128.61, 128.61, 75.63 degrees
Fractional positions:
Ti  0.000  0.000  0.000
Ge  0.500  0.500  0.000
Ir  0.250  0.750  0.500
Rh  0.750  0.250  0.500

- V: 14.56 Å³/atom
- Spin magnetization: 0.0 μB per formula unit
- Offset from the most stable computed form: 0.000 eV/atom
- Symmetry: I-4m2 (119)
- E_form: -0.72 eV per atom
- Raw total energy: -31.6 eV per cell

***

6.
Here is an optimized crystal structure of In3Se2S from Alexandria via LeMat-Bulk. Energies are from PBE.

Cell lengths 7.066, 7.066, 7.683 Å; angles 90.00, 90.00, 62.80 degrees
Fractional positions:
In  0.099  0.524  0.250
In  0.194  0.806  0.750
In  0.476  0.901  0.250
In  0.524  0.099  0.750
In  0.806  0.194  0.250
In  0.901  0.476  0.750
Se  0.198  0.198  0.000
Se  0.198  0.198  0.500
Se  0.802  0.802  0.000
Se  0.802  0.802  0.500
S  0.430  0.570  0.250
S  0.570  0.430  0.750

- V: 28.43 Å³/atom
- Spin magnetization: 0.0 μB per formula unit
- Offset from the most stable computed form: 0.053 eV/atom
- Formation energy from raw total energies: -0.36 eV per atom
- Symmetry: Cmcm (63)
- Raw total energy: -42.9 eV per cell

***

7.
Here is an optimized crystal structure of ZrAlNi from Alexandria via LeMat-Bulk. Energies are from PBE.

Cell lengths 7.890, 7.890, 2.771 Å; angles 90.00, 90.00, 120.00 degrees
Fractional positions:
Zr  0.000  0.000  0.000
Zr  0.333  0.667  0.500
Zr  0.667  0.333  0.500
Al  0.000  0.689  0.500
Al  0.311  0.311  0.500
Al  0.689  0.000  0.500
Ni  0.000  0.353  0.000
Ni  0.353  0.000  0.000
Ni  0.647  0.647  0.000

- V: 16.60 Å³/atom
- Spin magnetization: 0.0 μB per formula unit
- Symmetry: P-62m (189)
- E_form: -0.02 eV per atom
- Raw total energy: -54.4 eV per cell

***

8.
Here is an optimized crystal structure of MnRe from Alexandria via LeMat-Bulk. Energies are from PBE.

Cell lengths 2.683, 2.683, 3.656 Å; angles 90.00, 90.00, 90.00 degrees
Fractional positions:
Mn  0.000  0.000  0.000
Re  0.500  0.500  0.500

- V: 13.16 Å³/atom
- Spin magnetization: 0.9 μB per formula unit
- Symmetry: P4/mmm (123)
- E_form: 0.07 eV per atom
- Raw total energy: -21.5 eV per cell

***

9.
Here is an optimized crystal structure of Sm3SI7 from Alexandria via LeMat-Bulk. Energies are from PBE.

Cell lengths 8.821, 8.821, 7.703 Å; angles 90.00, 90.00, 120.00 degrees
Fractional positions:
Sm  0.176  0.352  0.000
Sm  0.176  0.824  0.000
Sm  0.648  0.824  0.000
S  0.333  0.667  0.160
I  0.000  0.000  0.759
I  0.000  0.500  0.757
I  0.328  0.164  0.222
I  0.500  0.000  0.757
I  0.500  0.500  0.757
I  0.836  0.164  0.222
I  0.836  0.672  0.222

- V: 47.19 Å³/atom
- Spin magnetization: 0.0 μB per formula unit
- Formation energy from raw total energies: -1.49 eV per atom
- Symmetry: P3m1 (156)
- Raw total energy: -45.5 eV per cell

***

10.
Here is an optimized crystal structure of Dy2Si2GeRh5 from Alexandria via LeMat-Bulk. Energies are from PBE.

Cell lengths 9.699, 9.699, 3.480 Å; angles 90.00, 90.00, 90.00 degrees
Fractional positions:
Dy  0.175  0.325  0.000
Dy  0.325  0.825  0.000
Dy  0.675  0.175  0.000
Dy  0.825  0.675  0.000
Si  0.123  0.623  0.000
Si  0.377  0.123  0.000
Si  0.623  0.877  0.000
Si  0.877  0.377  0.000
Ge  0.000  0.000  0.000
Ge  0.500  0.500  0.000
Rh  0.000  0.500  0.500
Rh  0.068  0.788  0.500
Rh  0.212  0.068  0.500
Rh  0.288  0.568  0.500
Rh  0.432  0.288  0.500
Rh  0.500  0.000  0.500
Rh  0.568  0.712  0.500
Rh  0.712  0.432  0.500
Rh  0.788  0.932  0.500
Rh  0.932  0.212  0.500

- V: 16.37 Å³/atom
- Spin magnetization: 0.0 μB per formula unit
- Formation energy from raw total energies: -0.91 eV per atom
- Symmetry: P4/mbm (127)
- Raw total energy: -141.1 eV per cell

***

11.
Here is an optimized crystal structure of ZnCr2Bi2 from Alexandria via LeMat-Bulk. Energies are from PBE.

Cell lengths 9.512, 9.512, 9.512 Å; angles 159.22, 159.22, 29.56 degrees
Fractional positions:
Zn  0.000  0.000  0.000
Cr  0.250  0.750  0.500
Cr  0.750  0.250  0.500
Bi  0.373  0.373  0.000
Bi  0.627  0.627  0.000

- V: 21.66 Å³/atom
- Spin magnetization: 0.0 μB per formula unit
- Offset from the most stable computed form: 0.000 eV/atom
- Symmetry: I4/mmm (139)
- E_form: 0.48 eV per atom
- Raw total energy: -25.9 eV per cell

***

12.
Here is an optimized crystal structure of Nb2VCl from Alexandria via LeMat-Bulk. Energies are from PBE.

Cell lengths 4.534, 4.534, 4.534 Å; angles 60.00, 60.00, 60.00 degrees
Fractional positions:
Nb  0.250  0.250  0.250
Nb  0.750  0.750  0.750
V  0.000  0.000  0.000
Cl  0.500  0.500  0.500

- V: 16.47 Å³/atom
- Spin magnetization: 0.0 μB per formula unit
- Offset from the most stable computed form: 0.000 eV/atom
- Formation energy from raw total energies: 0.67 eV per atom
- Symmetry: Fm-3m (225)
- Raw total energy: -28.4 eV per cell

***

13.
Here is an optimized crystal structure of Mg4SnHg7 from Alexandria via LeMat-Bulk. Energies are from PBE.

Cell lengths 5.974, 6.185, 7.618 Å; angles 93.21, 91.46, 92.38 degrees
Fractional positions:
Mg  0.152  0.197  0.157
Mg  0.333  0.484  0.811
Mg  0.667  0.516  0.189
Mg  0.848  0.803  0.843
Sn  0.000  0.000  0.500
Hg  0.000  0.500  0.500
Hg  0.189  0.676  0.147
Hg  0.328  0.003  0.840
Hg  0.483  0.249  0.474
Hg  0.517  0.751  0.526
Hg  0.672  0.997  0.160
Hg  0.811  0.324  0.853

- V: 23.39 Å³/atom
- Spin magnetization: 0.0 μB per formula unit
- Symmetry: P-1 (2)
- E_form: -0.10 eV per atom
- Raw total energy: -13.7 eV per cell

***

14.
Here is an optimized crystal structure of TiNb3B from Alexandria via LeMat-Bulk. Energies are from PBE.

Cell lengths 4.403, 4.403, 4.403 Å; angles 90.00, 90.00, 90.00 degrees
Fractional positions:
Ti  0.000  0.000  0.000
Nb  0.000  0.500  0.500
Nb  0.500  0.000  0.500
Nb  0.500  0.500  0.000
B  0.500  0.500  0.500

- V: 17.07 Å³/atom
- Spin magnetization: 0.0 μB per formula unit
- Offset from the most stable computed form: 0.000 eV/atom
- Symmetry: Pm-3m (221)
- E_form: 0.05 eV per atom
- Raw total energy: -44.5 eV per cell

***

15.
Here is an optimized crystal structure of Fe2AgIr from Alexandria via LeMat-Bulk. Energies are from PBE.

Cell lengths 2.707, 2.707, 7.744 Å; angles 90.00, 90.00, 90.00 degrees
Fractional positions:
Fe  0.000  0.000  0.232
Fe  0.000  0.000  0.768
Ag  0.500  0.500  0.500
Ir  0.500  0.500  0.000

- V: 14.19 Å³/atom
- Spin magnetization: 5.5 μB per formula unit
- Symmetry: P4/mmm (123)
- E_form: 0.19 eV per atom
- Raw total energy: -27.9 eV per cell

***

16.
Here is an optimized crystal structure of NbSOF2 from Alexandria via LeMat-Bulk. Energies are from PBE.

Cell lengths 4.790, 4.790, 3.322 Å; angles 90.00, 90.00, 90.00 degrees
Fractional positions:
Nb  0.000  0.000  0.000
S  0.500  0.500  0.500
O  0.500  0.500  0.000
F  0.000  0.500  0.500
F  0.500  0.000  0.500

- V: 15.24 Å³/atom
- Spin magnetization: 2.4 μB per formula unit
- Offset from the most stable computed form: 1.403 eV/atom
- Formation energy from raw total energies: -0.05 eV per atom
- Symmetry: P4/mmm (123)
- Raw total energy: -23.1 eV per cell

***

17.
Here is an optimized crystal structure of BaTa3Bi from Alexandria via LeMat-Bulk. Energies are from PBE.

Cell lengths 5.337, 5.337, 5.337 Å; angles 90.00, 90.00, 90.00 degrees
Fractional positions:
Ba  0.000  0.000  0.000
Ta  0.000  0.500  0.500
Ta  0.500  0.000  0.500
Ta  0.500  0.500  0.000
Bi  0.500  0.500  0.500

- V: 30.40 Å³/atom
- Spin magnetization: 1.3 μB per formula unit
- Offset from the most stable computed form: 0.000 eV/atom
- Symmetry: Pm-3m (221)
- E_form: 1.94 eV per atom
- Raw total energy: -31.7 eV per cell

***

18.
Here is an optimized crystal structure of GaP3C from Alexandria via LeMat-Bulk. Energies are from PBE.

Cell lengths 4.107, 4.107, 4.107 Å; angles 90.00, 90.00, 90.00 degrees
Fractional positions:
Ga  0.000  0.000  0.000
P  0.000  0.500  0.500
P  0.500  0.000  0.500
P  0.500  0.500  0.000
C  0.500  0.500  0.500

- V: 13.86 Å³/atom
- Spin magnetization: 0.0 μB per formula unit
- Offset from the most stable computed form: 0.000 eV/atom
- Symmetry: Pm-3m (221)
- E_form: 1.08 eV per atom
- Raw total energy: -23.1 eV per cell

***

19.
Here is an optimized crystal structure of NaLi12Cd2 from Alexandria via LeMat-Bulk. Energies are from PBE.

Cell lengths 5.532, 5.532, 20.681 Å; angles 90.00, 90.00, 90.00 degrees
Fractional positions:
Na  0.250  0.750  0.000
Na  0.750  0.250  0.000
Li  0.062  0.562  0.139
Li  0.062  0.938  0.861
Li  0.074  0.574  0.440
Li  0.074  0.926  0.560
Li  0.250  0.250  0.233
Li  0.250  0.250  0.351
Li  0.250  0.250  0.649
Li  0.250  0.250  0.767
Li  0.426  0.574  0.560
Li  0.426  0.926  0.440
Li  0.438  0.562  0.861
Li  0.438  0.938  0.139
Li  0.562  0.062  0.861
Li  0.562  0.438  0.139
Li  0.574  0.074  0.560
Li  0.574  0.426  0.440
Li  0.750  0.750  0.233
Li  0.750  0.750  0.351
Li  0.750  0.750  0.649
Li  0.750  0.750  0.767
Li  0.926  0.074  0.440
Li  0.926  0.426  0.560
Li  0.938  0.062  0.139
Li  0.938  0.438  0.861
Cd  0.250  0.750  0.298
Cd  0.250  0.750  0.702
Cd  0.750  0.250  0.298
Cd  0.750  0.250  0.702

- V: 21.10 Å³/atom
- Spin magnetization: 0.0 μB per formula unit
- Symmetry: P4/nbm (125)
- E_form: 0.05 eV per atom
- Raw total energy: -50.8 eV per cell

***

20.
Here is an optimized crystal structure of KMg2CdRh from Alexandria via LeMat-Bulk. Energies are from PBE.

Cell lengths 5.064, 5.064, 5.343 Å; angles 90.00, 90.00, 90.00 degrees
Fractional positions:
K  0.000  0.000  0.000
Mg  0.000  0.500  0.500
Mg  0.500  0.000  0.500
Cd  0.500  0.500  0.000
Rh  0.500  0.500  0.500

- V: 27.41 Å³/atom
- Spin magnetization: 0.0 μB per formula unit
- Symmetry: P4/mmm (123)
- E_form: -0.15 eV per atom
- Raw total energy: -13.3 eV per cell